The following is a DFT calculation (PBE-GGA) of an optimized crystal structure of TaSiTc2.

The structure belongs to space group P4/mmm (No. 123); the cell edges are 3.130, 3.130 and 6.024 Å and the angles 90.00°, 90.00° and 90.00°. The distinct sites, in fractional coordinates, are Ta at (0.000, 0.000, 0.000), Si at (0.000, 0.000, 0.500) and Tc at (0.500, 0.500, 0.266).

The raw formation energy is -1.8 eV/f.u. For the density of states at the Fermi level, the calculation gives 0.66 states/eV/atom.